# LiZrFeSb | Alexandria | GGA-PBE | relaxed
data_LiZrFeSb
_chemical_formula_sum 'Li4 Zr4 Fe4 Sb4'
_symmetry_space_group_name_H-M 'F -4 3 m'
_symmetry_Int_Tables_number 216
_symmetry_space_group_name_Hall 'F -4 2 3'
_cell_length_a 6.2852
_cell_length_b 6.2852
_cell_length_c 6.2852
_cell_angle_alpha 90.00
_cell_angle_beta 90.00
_cell_angle_gamma 90.00
loop_
_atom_site_label
_atom_site_fract_x
_atom_site_fract_y
_atom_site_fract_z
_atom_site_occupancy
Li1 0.0000 0.0000 0.0000 1
Zr1 0.2500 0.2500 0.2500 1
Fe1 0.0000 0.0000 0.5000 1
Sb1 0.2500 0.2500 0.7500 1
# ΔE_f (raw)   -1.66 eV/f.u.
# Final energy   -0.2270 hartree per atom
# Magnetic moment   0.00 μB/f.u.